1.
Compound: Sn4P3O12
Source: the Alexandria database
Functional: GGA-PBEsol
Structure: relaxed

The structure in extended XYZ format:
```
38
Lattice="-7.118 5.198 -3.159 -5.570 -3.304 -6.763 -9.163 -2.674 2.370" Properties=species:S:1:pos:R:3 pbc="T T T"
Sn -9.640 -3.492 -4.202
Sn -5.074 2.546 -2.663
Sn -5.341 -0.606 -4.730
Sn -6.427 -0.841 -0.778
Sn -17.353 -1.231 -4.553
Sn -13.737 0.504 -5.435
Sn -2.601 -0.265 -2.150
Sn -9.727 1.599 -1.313
P -11.314 1.531 -7.187
P -12.721 -2.634 -4.889
P -8.161 2.405 -3.938
P -8.083 -1.609 -6.207
P -9.388 -1.653 -1.422
P -12.850 1.655 -2.504
O -10.712 1.123 -8.558
O -10.146 2.123 -6.358
O -13.340 -3.102 -6.231
O -8.153 3.653 -4.861
O -11.195 -2.493 -5.139
O -8.979 -0.553 -6.902
O -7.772 1.200 -4.832
O -7.156 2.513 -2.761
O -9.116 -0.248 -2.025
O -2.691 0.327 -0.154
O -8.441 -1.864 -4.720
O -10.151 -2.593 -2.392
O -6.630 -1.066 -6.286
O -8.000 -2.265 -1.104
O -5.323 -2.608 -4.150
O -12.957 3.178 -2.242
O -14.124 0.855 -2.131
O -12.584 1.493 -4.025
O -11.982 0.288 -6.544
O -13.390 -1.303 -4.455
O -11.717 1.064 -1.623
O -9.558 2.280 -3.279
O -12.947 -3.614 -3.710
O -10.310 -1.496 -0.186
```

* final energy: -262.844 eV per cell
* uncorrected formation energy: -34.02 eV per formula unit
* total moment: 0.990 μB/f.u.

=====

2.
Compound: Sn4P2O9
Source: the Alexandria database
Functional: GGA-PBEsol
Structure: relaxed

The structure in extended XYZ format:
```
60
Lattice="-6.659 -0.455 -2.121 -2.765 -0.659 8.824 0.137 14.209 -3.476" Properties=species:S:1:pos:R:3 pbc="T T T"
Sn -7.362 1.058 6.434
Sn -7.806 8.127 4.533
Sn -3.393 2.000 4.754
Sn -4.887 5.043 3.859
Sn -8.289 4.923 2.686
Sn -3.504 9.092 2.959
Sn -2.157 12.329 2.968
Sn -5.376 12.222 1.854
Sn -3.912 0.873 1.373
Sn -7.131 0.766 0.259
Sn -5.784 4.003 0.268
Sn -0.999 8.172 0.541
Sn -4.401 8.052 -0.632
Sn -5.894 11.095 -1.527
Sn -1.482 4.967 -1.306
Sn -1.926 12.037 -3.207
P -4.008 0.819 7.732
P -4.576 7.880 5.791
P -6.730 1.858 3.341
P -6.634 8.964 1.611
P -2.653 4.130 1.616
P -2.558 11.236 -0.113
P -4.712 5.214 -2.564
P -5.280 12.275 -4.505
O -4.175 2.160 6.915
O -5.932 4.652 6.175
O -3.781 -0.263 6.650
O -8.078 4.694 4.870
O -7.914 1.422 4.249
O -4.136 9.262 5.167
O -3.409 4.123 5.107
O -2.598 11.980 5.477
O -5.578 2.368 4.241
O -4.003 6.821 4.820
O -6.777 11.883 3.525
O -6.147 8.642 3.052
O -7.245 2.982 2.379
O -6.263 0.703 2.413
O -3.957 11.186 3.173
O -8.147 9.292 1.663
O -2.953 5.296 2.597
O -3.485 2.915 2.149
O -5.803 10.180 1.078
O -6.335 7.798 0.630
O -1.141 3.802 1.564
O -5.331 1.909 0.054
O -3.025 12.391 0.814
O -2.042 10.113 0.848
O -3.141 4.452 0.175
O -2.511 1.212 -0.298
O -5.285 6.273 -1.593
O -3.710 10.727 -1.014
O -6.690 1.115 -2.250
O -5.879 8.971 -1.880
O -5.152 3.832 -1.940
O -1.374 11.673 -1.022
O -1.210 8.400 -1.643
O -5.507 13.358 -3.423
O -3.356 8.442 -2.948
O -5.113 10.935 -3.688
```

* final energy: -410.281 eV per cell
* uncorrected formation energy: -26.71 eV per formula unit
* total moment: 0.000 μB/f.u.

=====

3.
Compound: SrSnP2O
Source: the Alexandria database
Functional: GGA-PBEsol
Structure: relaxed

The structure in extended XYZ format:
```
5
Lattice="4.342 0.000 0.000 0.000 5.400 0.000 0.000 0.000 5.400" Properties=species:S:1:pos:R:3 pbc="T T T"
Sr 0.000 0.000 0.000
Sn 2.171 2.700 2.700
O 2.171 0.000 0.000
P 0.000 0.000 2.700
P 0.000 2.700 0.000
```

* final energy: -20.072 eV per cell
* uncorrected formation energy: 2.86 eV per formula unit
* total moment: 1.435 μB/f.u.